Entry 1:
The following is a PBE-GGA calculation of HfAs2Os2 after structural relaxation, from Alexandria.

Cell and atoms, written as POSCAR:
```
HfAs2Os2
1.0
3.8523 0.0000 0.0000
0.0000 3.8523 0.0000
1.9262 1.9262 5.9596
Os As Hf
2 2 1
direct
0.6028 0.6028 0.7944
0.3972 0.3972 0.2056
0.2500 0.7500 0.5000
0.7500 0.2500 0.5000
0.0000 0.0000 0.0000
```

Results
Space group: No. 139
Energy of formation from the pure elements (kcal/mol of atoms): 1.81
Fermi-level density of states (states/eV/atom): 0.541

=====

Entry 2:
The following is a PBE-GGA calculation of Ti3IrC after structural relaxation, from Alexandria.

Cell and atoms, written as POSCAR:
```
Ti3IrC
1.0
4.7019 0.0000 0.0000
0.0000 4.7019 0.0000
0.0000 0.0000 4.7019
Ti Ir C
3 1 1
direct
0.0000 0.5000 0.0000
0.0000 0.0000 0.5000
0.5000 0.0000 0.0000
0.0000 0.0000 0.0000
0.5000 0.5000 0.5000
```

Results
Space group: No. 221
Energy of formation from the pure elements (kcal/mol of atoms): 32.35
Energy above the most stable polymorph in this dataset (meV/atom): 2013
Fermi-level density of states (states/eV/atom): 1.122

=====

Entry 3:
The following is a PBE-GGA calculation of Pr2NpCuTe5 after structural relaxation, from Alexandria.

Cell and atoms, written as POSCAR:
```
Pr2NpCuTe5
1.0
4.3479 0.0000 0.0000
-2.1739 9.5810 0.0000
0.0000 0.0000 13.0948
Pr Np Te Cu
4 2 10 2
direct
0.8909 0.7817 0.1854
0.8760 0.7520 0.8071
0.1240 0.2480 0.3071
0.1091 0.2183 0.6854
0.8047 0.6094 0.5092
0.1953 0.3906 0.0092
0.3134 0.6268 0.3421
0.6407 0.2814 0.5002
0.3593 0.7186 0.0002
0.6866 0.3732 0.8421
0.5002 0.0004 0.7861
0.4998 0.9996 0.2861
0.0439 0.0878 0.0628
0.9561 0.9122 0.5628
0.2883 0.5765 0.6733
0.7117 0.4235 0.1733
0.4285 0.8571 0.4578
0.5715 0.1429 0.9578
```

Results
Space group: No. 36
Formation energy from raw total energies (meV per atom): -991
Fermi-level density of states (states/eV/atom): 1.024

=====

Entry 4:
The following is a PBE-GGA calculation of NaLa2S3 after structural relaxation, from Alexandria.

Cell and atoms, written as POSCAR:
```
NaLa2S3
1.0
-1.6183 1.3352 -3.5918
-2.4119 -1.9540 2.7690
-4.6004 18.2051 8.8400
Na La S
2 4 6
direct
0.0000 0.0000 0.7500
0.0000 0.0000 0.2500
0.3333 0.6667 0.5839
0.6667 0.3333 0.0839
0.6667 0.3333 0.4161
0.3333 0.6667 0.9161
0.3333 0.6667 0.1605
0.0000 0.0000 0.5000
0.3333 0.6667 0.3395
0.6667 0.3333 0.6605
0.6667 0.3333 0.8395
0.0000 0.0000 0.0000
```

Results
Space group: No. 194
Energy above the most stable polymorph in this dataset (meV/atom): 15
Formation energy from raw total energies (meV per atom): -1929
Fermi-level density of states (states/eV/atom): 0.339

=====

Entry 5:
The following is a PBE-GGA calculation of Al2CuSi after structural relaxation, from Alexandria.

Cell and atoms, written as POSCAR:
```
Al2CuSi
1.0
2.1173 -3.6673 0.0000
2.1173 3.6673 0.0000
0.0000 0.0000 8.1074
Al Cu Si
4 2 2
direct
0.3333 0.6667 0.0784
0.6667 0.3333 0.9216
0.6667 0.3333 0.5784
0.3333 0.6667 0.4216
0.3333 0.6667 0.7500
0.6667 0.3333 0.2500
0.0000 0.0000 0.2500
0.0000 0.0000 0.7500
```

Results
Space group: No. 194
Formation energy from raw total energies (meV per atom): 162
Fermi-level density of states (states/eV/atom): 0.389

=====

Entry 6:
The following is a PBE-GGA calculation of La2Cd3 after structural relaxation, from Alexandria.

Cell and atoms, written as POSCAR:
```
La2Cd3
1.0
3.5241 0.0000 -0.5801
0.0000 5.1235 0.0000
0.7440 0.0000 15.5141
Cd La
6 4
direct
0.8281 0.2500 0.6563
0.9765 0.7500 0.9531
0.1194 0.2500 0.2387
0.1719 0.7500 0.3437
0.0235 0.2500 0.0469
0.8806 0.7500 0.7613
0.2873 0.7500 0.5747
0.7127 0.2500 0.4253
0.4270 0.2500 0.8540
0.5730 0.7500 0.1460
```

Results
Space group: No. 63
Energy of formation from the pure elements (kcal/mol of atoms): -7.76
Energy above the most stable polymorph in this dataset (meV/atom): 0
Fermi-level density of states (states/eV/atom): 0.881